1.
NdSmTm (GGA-PBE, relaxed); energy above the lowest structure with this stoichiometry = 0.2367 eV per atom; symmetry = R-3m, No. 166; DOS at the Fermi energy = 1.785 states/eV per atom; size of the total moment = 0.134 μB/atom; ΔH_f (0 K) = 0.77 eV/f.u.
1.0
-6.3323 -0.7169 -2.6991
-3.2864 -6.0740 0.4508
-9.1553 1.9087 12.0993
Sm Nd Tm
6 6 6
direct
0.7373 0.7373 0.7882
0.2627 0.2627 0.2118
0.0390 0.0390 0.8831
0.9610 0.9610 0.1169
0.1832 0.1832 0.4503
0.8168 0.8168 0.5497
0.1908 0.7372 0.3348
0.7372 0.1908 0.3348
0.7372 0.7372 0.3348
0.8092 0.2628 0.6652
0.2628 0.8092 0.6652
0.2628 0.2628 0.6652
0.3913 0.3913 0.8260
0.6087 0.6087 0.1740
0.0000 0.5000 0.0000
0.5000 0.0000 0.0000
0.5000 0.5000 0.0000
0.5000 0.5000 0.5000

***

2.
Mn2FeI8 (GGA-PBE, relaxed); ΔE_f (raw) = -201 meV/atom; symmetry = C2/m, No. 12; DOS at the Fermi energy = 0.810 states/eV per atom; size of the total moment = 1.085 μB/atom
1.0
7.2778 -0.5344 -0.0083
-0.2721 8.2364 1.1747
-0.8948 -0.3546 8.2684
Mn Fe I
2 1 8
direct
0.8284 0.7789 0.7789
0.1716 0.2211 0.2211
0.0000 0.0000 0.0000
0.2455 0.9177 0.2709
0.2455 0.2709 0.9177
0.7545 0.0823 0.7291
0.2783 0.4255 0.4255
0.7545 0.7291 0.0823
0.1874 0.8083 0.8083
0.8126 0.1917 0.1917
0.7217 0.5745 0.5745

***

3.
MnRu3N (GGA-PBE, relaxed); ΔE_f (raw) = 194 meV/atom; energy above the lowest structure with this stoichiometry = 0.0000 eV per atom; symmetry = Pm-3m, No. 221; DOS at the Fermi energy = 1.606 states/eV per atom; size of the total moment = 0.770 μB/atom
1.0
-3.3830 -1.9032 1.0323
1.2696 -3.2949 -1.9142
1.7539 -1.2859 3.3768
Ru Mn N
3 1 1
direct
0.0000 0.5000 0.0000
0.0000 0.0000 0.5000
0.5000 0.0000 0.0000
0.5000 0.5000 0.5000
0.0000 0.0000 0.0000

***

4.
SmHoBiN (GGA-PBE, relaxed); ΔE_f (raw) = -1272 meV/atom; symmetry = P4/nmm, No. 129; DOS at the Fermi energy = 0.142 states/eV per atom; size of the total moment = 0.000 μB/atom
1.0
4.5785 0.0000 0.0000
0.0000 4.5785 0.0000
0.0000 0.0000 9.2277
Sm Ho Bi N
2 2 2 2
direct
0.5000 0.0000 0.8186
0.0000 0.5000 0.1814
0.0000 0.0000 0.5000
0.5000 0.5000 0.5000
0.0000 0.5000 0.8089
0.5000 0.0000 0.1911
0.0000 0.5000 0.4294
0.5000 0.0000 0.5706

***

5.
InHgOs2 (GGA-PBE, relaxed); energy above the lowest structure with this stoichiometry = 0.4746 eV per atom; symmetry = R-3m, No. 166; DOS at the Fermi energy = 1.099 states/eV per atom; size of the total moment = 0.006 μB/atom; ΔH_f (0 K) = 3.26 eV/f.u.
1.0
9.3232 0.0210 0.0123
8.8503 2.9319 0.0123
8.8503 1.4380 2.5550
Hg In Os
1 1 2
direct
0.2500 0.2500 0.2500
0.7500 0.7500 0.7500
0.0021 0.0021 0.0021
0.4979 0.4979 0.4979

***

6.
Li2MgAgPd (GGA-PBE, relaxed); symmetry = Cmcm, No. 63; DOS at the Fermi energy = 0.290 states/eV per atom; size of the total moment = 0.000 μB/atom; ΔH_f (0 K) = -0.97 eV/f.u.
1.0
-4.0585 2.1960 -2.1291
-2.1564 0.4517 4.5765
3.9140 5.7398 -1.5409
Li Mg Ag Pd
4 2 2 2
direct
0.5000 0.2574 0.0000
0.0000 0.7426 0.0000
0.5000 0.7426 0.0000
0.0000 0.2574 0.0000
0.7500 0.7501 0.5002
0.2500 0.2499 0.4998
0.2500 0.8546 0.7092
0.7500 0.1454 0.2908
0.2500 0.6492 0.2984
0.7500 0.3508 0.7016

***

7.
CeCuSnPd (GGA-PBE, relaxed); symmetry = F-43m, No. 216; DOS at the Fermi energy = 0.951 states/eV per atom; size of the total moment = 0.128 μB/atom; ΔH_f (0 K) = -2.21 eV/f.u.
1.0
4.8348 0.0000 0.0000
2.4174 4.1870 0.0000
2.4174 1.3957 3.9476
Pd Sn Ce Cu
1 1 1 1
direct
0.5000 0.5000 0.5000
0.2500 0.2500 0.2500
0.7500 0.7500 0.7500
0.0000 0.0000 0.0000

***

8.
ScTa2Rh (GGA-PBE, relaxed); energy above the lowest structure with this stoichiometry = 0.2032 eV per atom; symmetry = C2/m, No. 12; DOS at the Fermi energy = 1.124 states/eV per atom; size of the total moment = 0.000 μB/atom; ΔH_f (0 K) = -0.61 eV/f.u.
1.0
5.4678 -0.0091 0.0102
-2.7944 4.6998 0.0102
0.4682 0.8214 2.7441
Rh Sc Ta
1 1 2
direct
0.5000 0.0000 0.5000
0.0000 0.5000 0.5000
0.0000 0.0000 0.0000
0.5000 0.5000 0.0000

***

9.
Rb3HSe2O8 (GGA-PBE, relaxed); symmetry = C2/c, No. 15; DOS at the Fermi energy = 0.000 states/eV per atom; size of the total moment = 0.000 μB/atom; DFT total energy = -5.041 eV per atom
1.0
8.5598 -0.0218 0.0529
6.2593 5.8388 0.0529
2.2974 0.9018 10.3552
Rb H Se O
6 2 4 16
direct
0.0898 0.5301 0.1521
0.4699 0.9102 0.3479
0.9102 0.4699 0.8479
0.5301 0.0898 0.6521
0.2491 0.7509 0.7500
0.7509 0.2491 0.2500
0.0000 0.0000 0.5000
0.0000 0.0000 0.0000
0.6652 0.1034 0.9645
0.8966 0.3348 0.5355
0.3348 0.8966 0.0355
0.1034 0.6652 0.4645
0.4329 0.3177 0.8862
0.6823 0.5671 0.6138
0.5671 0.6823 0.1138
0.3177 0.4329 0.3862
0.6033 0.0874 0.1239
0.9126 0.3967 0.3761
0.3967 0.9126 0.8761
0.0874 0.6033 0.6239
0.8525 0.8332 0.4049
0.1668 0.1475 0.0951
0.1475 0.1668 0.5951
0.8332 0.8525 0.9049
0.1597 0.8282 0.4429
0.1718 0.8403 0.0571
0.8403 0.1718 0.5571
0.8282 0.1597 0.9429

***

10.
Rb8HAu3I4 (GGA-PBE, relaxed); symmetry = C2/m, No. 12; DOS at the Fermi energy = 0.000 states/eV per atom; size of the total moment = 0.004 μB/atom; DFT total energy = -2.542 eV per atom
1.0
-7.8908 -0.6959 -6.3900
4.0002 -8.4749 -4.0167
-1.6167 0.5925 10.0368
Rb H Au I
8 1 3 4
direct
0.2370 0.7296 0.9928
0.2378 0.7306 0.4756
0.2539 0.2621 0.5078
0.7557 0.7296 0.9928
0.2443 0.2704 0.0072
0.7461 0.7379 0.4922
0.7622 0.2694 0.5244
0.7630 0.2704 0.0072
0.0000 0.5000 0.0000
0.5000 0.5000 0.0000
0.5000 0.5000 0.5000
0.0000 0.5000 0.5000
0.5000 0.0000 0.0000
0.5000 0.0000 0.5000
0.0000 0.0000 0.0000
0.0000 0.0000 0.5000

***

11.
RbAg12Te6 (GGA-PBE, relaxed); ΔE_f (raw) = -95 meV/atom; symmetry = R-3m, No. 166; DOS at the Fermi energy = 0.255 states/eV per atom; size of the total moment = 0.000 μB/atom
1.0
-7.6986 -1.5837 2.1392
3.2214 -0.7221 7.4467
-0.6571 8.1191 0.0341
Rb Ag Te
1 12 6
direct
0.0000 0.0000 0.0000
0.7488 0.2512 0.5000
0.9136 0.6073 0.6073
0.6073 0.6073 0.9136
0.3927 0.0864 0.3927
0.3927 0.3927 0.0864
0.0864 0.3927 0.3927
0.2512 0.5000 0.7488
0.5000 0.7488 0.2512
0.2512 0.7488 0.5000
0.7488 0.5000 0.2512
0.5000 0.2512 0.7488
0.6073 0.9136 0.6073
0.6025 0.1672 0.1672
0.1672 0.1672 0.6025
0.1672 0.6025 0.1672
0.8328 0.8328 0.3975
0.3975 0.8328 0.8328
0.8328 0.3975 0.8328

***

12.
AlCr2In (GGA-PBE, relaxed); symmetry = Imm2, No. 44; DOS at the Fermi energy = 0.668 states/eV per atom; size of the total moment = 0.029 μB/atom; ΔH_f (0 K) = 0.88 eV/f.u.
1.0
-2.1041 1.7562 -4.3892
0.0651 -0.4217 -5.1570
-3.1945 -2.5633 -1.7545
Cr Al In
2 1 1
direct
0.9778 0.9778 0.0222
0.2781 0.2781 0.2220
0.7338 0.7338 0.7663
0.5104 0.5104 0.4896

***

13.
Hf2AlFe (GGA-PBE, relaxed); symmetry = Amm2, No. 38; DOS at the Fermi energy = 0.916 states/eV per atom; size of the total moment = 0.000 μB/atom; ΔH_f (0 K) = -0.95 eV/f.u.
1.0
-3.2239 -0.2503 -0.2882
0.6598 -3.5904 -4.2766
-0.4677 -0.3939 5.5887
Hf Al Fe
2 1 1
direct
0.0001 0.9912 0.8798
0.4999 0.2871 0.5838
0.9999 0.6946 0.1765
0.5001 0.5217 0.3492

***

14.
TbZnGe2Pt2 (GGA-PBE, relaxed); symmetry = P-3m1, No. 164; DOS at the Fermi energy = 0.495 states/eV per atom; size of the total moment = 0.000 μB/atom; ΔH_f (0 K) = -4.28 eV/f.u.
1.0
-2.1208 -3.5314 1.3139
3.8489 -0.3835 -1.9322
3.0236 0.3958 5.9443
Tb Zn Ge Pt
1 1 2 2
direct
0.0000 0.0000 0.0000
0.0000 0.0000 0.5000
0.6667 0.3333 0.2667
0.3333 0.6667 0.7333
0.6667 0.3333 0.6848
0.3333 0.6667 0.3152

***

15.
Pt3Au4 (GGA-PBE, relaxed); symmetry = I4/mmm, No. 139; DOS at the Fermi energy = 0.873 states/eV per atom; size of the total moment = 0.000 μB/atom; ΔH_f (0 K) = 0.62 eV/f.u.
1.0
-0.1030 -10.2846 1.8595
0.7841 -8.3535 6.2325
-2.7293 9.4224 -3.6070
Au Pt
4 3
direct
0.1442 0.1442 0.0000
0.4285 0.4285 0.0000
0.5715 0.5715 0.0000
0.8558 0.8558 0.0000
0.0000 0.0000 0.0000
0.2820 0.2820 0.0000
0.7180 0.7180 0.0000

***

16.
Nb3SnBi (GGA-PBE, relaxed); energy above the lowest structure with this stoichiometry = 0.2278 eV per atom; symmetry = Pm-3m, No. 221; DOS at the Fermi energy = 1.076 states/eV per atom; size of the total moment = 0.000 μB/atom; ΔH_f (0 K) = 8.40 eV/f.u.
1.0
5.1575 0.0000 0.0000
0.0000 5.1575 0.0000
0.0000 0.0000 5.1575
Nb Bi Sn
3 1 1
direct
0.0000 0.5000 0.0000
0.0000 0.0000 0.5000
0.5000 0.0000 0.0000
0.0000 0.0000 0.0000
0.5000 0.5000 0.5000

***

17.
LaP2Br (GGA-PBE, relaxed); ΔE_f (raw) = -748 meV/atom; energy above the lowest structure with this stoichiometry = 0.2261 eV per atom; symmetry = P4mm, No. 99; DOS at the Fermi energy = 0.304 states/eV per atom; size of the total moment = 0.000 μB/atom
1.0
3.4918 0.0000 0.0000
0.0000 3.4918 0.0000
0.0000 0.0000 8.2665
Br La P
1 1 2
direct
0.0000 0.0000 0.5585
0.5000 0.5000 0.7827
0.0000 0.0000 0.0374
0.5000 0.5000 0.1214

***

18.
La3Sm2Dy (GGA-PBE, relaxed); energy above the lowest structure with this stoichiometry = 0.0094 eV per atom; symmetry = P6_3/mcm, No. 193; DOS at the Fermi energy = 1.244 states/eV per atom; size of the total moment = 0.000 μB/atom; ΔH_f (0 K) = 0.17 eV/f.u.
1.0
-1.4548 0.8746 -6.1569
-0.8558 -5.7234 2.7016
-11.1169 3.1108 3.0686
La Sm Dy
6 4 2
direct
0.6678 0.6678 0.7500
0.0000 0.3322 0.7500
0.3322 0.0000 0.7500
0.3322 0.3322 0.2500
0.0000 0.6678 0.2500
0.6678 0.0000 0.2500
0.6667 0.3333 0.0000
0.3333 0.6667 0.5000
0.3333 0.6667 0.0000
0.6667 0.3333 0.5000
0.0000 0.0000 0.0000
0.0000 0.0000 0.5000

***

19.
MgPaTcO6 (GGA-PBE, relaxed); ΔE_f (raw) = -2401 meV/atom; symmetry = P-31c, No. 163; DOS at the Fermi energy = 0.575 states/eV per atom; size of the total moment = 0.222 μB/atom
1.0
5.4543 0.0000 0.0000
-2.7272 4.7236 0.0000
0.0000 0.0000 8.9116
Mg Pa Tc O
2 2 2 12
direct
0.0000 0.0000 0.0000
0.0000 0.0000 0.5000
0.3333 0.6667 0.2500
0.6667 0.3333 0.7500
0.6667 0.3333 0.2500
0.3333 0.6667 0.7500
0.6711 0.6434 0.1307
0.9723 0.3289 0.1307
0.3289 0.9723 0.6307
0.0277 0.6711 0.8693
0.3566 0.3289 0.3693
0.9723 0.6434 0.3693
0.6434 0.9723 0.8693
0.6711 0.0277 0.3693
0.0277 0.3566 0.6307
0.3566 0.0277 0.1307
0.6434 0.6711 0.6307
0.3289 0.3566 0.8693

***

20.
BeF2 (GGA-PBE, relaxed); ΔE_f (raw) = -3130 meV/atom; energy above the lowest structure with this stoichiometry = 0.1433 eV per atom; symmetry = P-1, No. 2; DOS at the Fermi energy = 0.000 states/eV per atom; size of the total moment = 0.000 μB/atom
1.0
-1.5261 -0.9035 -2.0349
4.3977 -2.8362 -2.0610
-1.0733 -2.8503 3.8728
Be F
2 4
direct
0.9338 0.6526 0.3684
0.7884 0.2919 0.0761
0.2408 0.1620 0.9798
0.9600 0.3789 0.4177
0.7623 0.5656 0.0267
0.4814 0.7824 0.4647